# 1
{
  "formula": "Nd3Dy6In",
  "functional": "PBE",
  "state": "relaxed",
  "delta_e_f_mev_per_atom": -28,
  "total_magnetization_mub_per_cell": 0.00,
  "e_tot_ev_per_atom": -4.494,
  "density_g_cm3": 7.895,
  "lattice": [[13.001, 0.000, 0.000], [0.000, 3.570, 0.000], [-4.689, 0.000, 13.800]],
  "species": ["Nd", "Nd", "Nd", "Nd", "Nd", "Nd", "Dy", "Dy", "Dy", "Dy", "Dy", "Dy", "Dy", "Dy", "Dy", "Dy", "Dy", "Dy", "In", "In"],
  "fractional_positions": [[0.009, 0.250, 0.396], [0.377, 0.250, 0.000], [0.466, 0.250, 0.592], [0.534, 0.750, 0.408], [0.623, 0.750, 0.000], [0.991, 0.750, 0.604], [0.135, 0.750, 0.023], [0.143, 0.250, 0.811], [0.217, 0.250, 0.599], [0.249, 0.750, 0.390], [0.332, 0.250, 0.218], [0.384, 0.750, 0.790], [0.616, 0.250, 0.210], [0.668, 0.750, 0.782], [0.751, 0.250, 0.610], [0.783, 0.750, 0.401], [0.857, 0.750, 0.189], [0.865, 0.250, 0.977], [0.077, 0.250, 0.193], [0.923, 0.750, 0.807]]
}

***

# 2
{
  "formula": "Nd2Dy3In3",
  "functional": "PBE",
  "state": "relaxed",
  "delta_e_f_mev_per_atom": -351,
  "total_magnetization_mub_per_cell": 0.00,
  "e_tot_ev_per_atom": -4.296,
  "density_g_cm3": 8.142,
  "lattice": [[4.930, 0.000, 0.000], [0.000, 4.994, 0.000], [0.000, 0.000, 9.282]],
  "species": ["Nd", "Nd", "Dy", "Dy", "Dy", "In", "In", "In"],
  "fractional_positions": [[0.000, 0.000, 0.243], [0.000, 0.000, 0.757], [0.500, 0.000, 0.500], [0.500, 0.500, 0.231], [0.500, 0.500, 0.769], [0.000, 0.500, 0.000], [0.000, 0.500, 0.500], [0.500, 0.000, 0.000]]
}

***

# 3
{
  "formula": "Nd3DyIn3",
  "functional": "PBE",
  "state": "relaxed",
  "delta_e_f_mev_per_atom": -331,
  "total_magnetization_mub_per_cell": 0.00,
  "e_tot_ev_per_atom": -4.206,
  "density_g_cm3": 7.207,
  "lattice": [[9.532, 0.000, 0.000], [0.000, 9.532, 0.000], [0.000, 0.000, 9.532]],
  "species": ["Nd", "Nd", "Nd", "Nd", "Nd", "Nd", "Nd", "Nd", "Nd", "Nd", "Nd", "Nd", "Dy", "Dy", "Dy", "Dy", "In", "In", "In", "In", "In", "In", "In", "In", "In", "In", "In", "In"],
  "fractional_positions": [[0.070, 0.430, 0.570], [0.171, 0.829, 0.329], [0.176, 0.176, 0.176], [0.324, 0.824, 0.676], [0.329, 0.171, 0.829], [0.430, 0.570, 0.070], [0.570, 0.070, 0.430], [0.671, 0.671, 0.671], [0.676, 0.324, 0.824], [0.824, 0.676, 0.324], [0.829, 0.329, 0.171], [0.930, 0.930, 0.930], [0.077, 0.577, 0.923], [0.423, 0.423, 0.423], [0.577, 0.923, 0.077], [0.923, 0.077, 0.577], [0.003, 0.255, 0.868], [0.132, 0.503, 0.245], [0.245, 0.132, 0.503], [0.255, 0.868, 0.003], [0.368, 0.497, 0.745], [0.497, 0.745, 0.368], [0.503, 0.245, 0.132], [0.632, 0.997, 0.755], [0.745, 0.368, 0.497], [0.755, 0.632, 0.997], [0.868, 0.003, 0.255], [0.997, 0.755, 0.632]]
}

***

# 4
{
  "formula": "Nd6DyIn5",
  "functional": "PBE",
  "state": "relaxed",
  "delta_e_f_mev_per_atom": -394,
  "total_magnetization_mub_per_cell": 0.00,
  "e_tot_ev_per_atom": -4.303,
  "density_g_cm3": 7.498,
  "lattice": [[-2.536, 4.564, 7.662], [2.536, -4.564, 7.662], [2.536, 4.564, -7.662]],
  "species": ["Nd", "Nd", "Nd", "Nd", "Nd", "Nd", "Dy", "In", "In", "In", "In", "In"],
  "fractional_positions": [[0.068, 0.329, 0.739], [0.233, 0.000, 0.233], [0.410, 0.671, 0.739], [0.590, 0.329, 0.261], [0.767, 0.000, 0.767], [0.932, 0.671, 0.261], [0.500, 0.500, 0.000], [0.000, 0.500, 0.500], [0.173, 0.173, 0.000], [0.347, 0.847, 0.500], [0.653, 0.153, 0.500], [0.827, 0.827, 0.000]]
}

***

# 5
{
  "formula": "NdDy2In3",
  "functional": "PBE",
  "state": "relaxed",
  "delta_e_f_mev_per_atom": -478,
  "total_magnetization_mub_per_cell": 0.00,
  "e_tot_ev_per_atom": -4.175,
  "density_g_cm3": 8.225,
  "lattice": [[3.775, 0.000, 0.000], [0.000, 3.775, 0.000], [0.000, 0.000, 11.528]],
  "species": ["Nd", "Dy", "Dy", "In", "In", "In"],
  "fractional_positions": [[0.000, 0.000, 0.000], [0.000, 0.000, 0.338], [0.000, 0.000, 0.662], [0.500, 0.500, 0.177], [0.500, 0.500, 0.500], [0.500, 0.500, 0.823]]
}

***

# 6
{
  "formula": "NdDy9In2",
  "functional": "PBE",
  "state": "relaxed",
  "delta_e_f_mev_per_atom": -161,
  "total_magnetization_mub_per_cell": 0.00,
  "e_tot_ev_per_atom": -4.466,
  "density_g_cm3": 8.544,
  "lattice": [[4.875, 0.000, 0.000], [0.000, 4.875, 0.000], [0.000, 0.000, 15.016]],
  "species": ["Nd", "Dy", "Dy", "Dy", "Dy", "Dy", "Dy", "Dy", "Dy", "Dy", "In", "In"],
  "fractional_positions": [[0.000, 0.000, 0.000], [0.000, 0.500, 0.175], [0.000, 0.500, 0.500], [0.000, 0.500, 0.825], [0.500, 0.000, 0.175], [0.500, 0.000, 0.500], [0.500, 0.000, 0.825], [0.500, 0.500, 0.000], [0.500, 0.500, 0.339], [0.500, 0.500, 0.661], [0.000, 0.000, 0.340], [0.000, 0.000, 0.660]]
}

***

# 7
{
  "formula": "Nd2Dy9In",
  "functional": "PBE",
  "state": "relaxed",
  "delta_e_f_mev_per_atom": -61,
  "total_magnetization_mub_per_cell": 0.00,
  "e_tot_ev_per_atom": -4.536,
  "density_g_cm3": 8.304,
  "lattice": [[4.965, 0.000, 0.000], [0.000, 4.965, 0.000], [0.000, 0.000, 15.134]],
  "species": ["Nd", "Nd", "Dy", "Dy", "Dy", "Dy", "Dy", "Dy", "Dy", "Dy", "Dy", "In"],
  "fractional_positions": [[0.000, 0.000, 0.168], [0.000, 0.000, 0.832], [0.000, 0.500, 0.000], [0.000, 0.500, 0.340], [0.000, 0.500, 0.660], [0.500, 0.000, 0.000], [0.500, 0.000, 0.340], [0.500, 0.000, 0.660], [0.500, 0.500, 0.173], [0.500, 0.500, 0.500], [0.500, 0.500, 0.827], [0.000, 0.000, 0.500]]
}

***

# 8
{
  "formula": "Nd3DyIn3",
  "functional": "PBE",
  "state": "relaxed",
  "delta_e_f_mev_per_atom": -307,
  "total_magnetization_mub_per_cell": 0.00,
  "e_tot_ev_per_atom": -4.182,
  "density_g_cm3": 7.466,
  "lattice": [[9.592, 0.000, 0.000], [-4.796, 8.307, 0.000], [0.000, 0.000, 5.247]],
  "species": ["Nd", "Nd", "Nd", "Nd", "Nd", "Nd", "Dy", "Dy", "In", "In", "In", "In", "In", "In"],
  "fractional_positions": [[0.002, 0.240, 0.250], [0.237, 0.998, 0.250], [0.240, 0.237, 0.750], [0.760, 0.763, 0.250], [0.763, 0.002, 0.750], [0.998, 0.760, 0.750], [0.333, 0.667, 0.250], [0.667, 0.333, 0.750], [0.074, 0.460, 0.750], [0.386, 0.926, 0.750], [0.460, 0.386, 0.250], [0.540, 0.614, 0.750], [0.614, 0.074, 0.250], [0.926, 0.540, 0.250]]
}

***

# 9
{
  "formula": "Nd5Dy2In",
  "functional": "PBE",
  "state": "relaxed",
  "delta_e_f_mev_per_atom": -64,
  "total_magnetization_mub_per_cell": 0.00,
  "e_tot_ev_per_atom": -4.537,
  "density_g_cm3": 7.539,
  "lattice": [[-3.781, 3.781, 4.473], [3.781, -3.781, 4.473], [3.781, 3.781, -4.473]],
  "species": ["Nd", "Nd", "Nd", "Nd", "Nd", "Dy", "Dy", "In"],
  "fractional_positions": [[0.000, 0.000, 0.000], [0.074, 0.074, 0.545], [0.074, 0.529, 0.000], [0.529, 0.074, 0.000], [0.529, 0.529, 0.455], [0.050, 0.550, 0.500], [0.550, 0.050, 0.500], [0.576, 0.576, 0.000]]
}

***

# 10
{
  "formula": "Nd2Dy3In3",
  "functional": "PBE",
  "state": "relaxed",
  "delta_e_f_mev_per_atom": -350,
  "total_magnetization_mub_per_cell": 0.00,
  "e_tot_ev_per_atom": -4.294,
  "density_g_cm3": 8.170,
  "lattice": [[-2.265, 2.458, 10.230], [2.265, -2.458, 10.230], [2.265, 2.458, -10.230]],
  "species": ["Nd", "Nd", "Dy", "Dy", "Dy", "In", "In", "In"],
  "fractional_positions": [[0.239, 0.239, 0.000], [0.761, 0.761, 0.000], [0.000, 0.000, 0.000], [0.383, 0.883, 0.500], [0.617, 0.117, 0.500], [0.122, 0.622, 0.500], [0.500, 0.500, 0.000], [0.878, 0.378, 0.500]]
}

***

# 11
{
  "formula": "Nd4DyIn4",
  "functional": "PBE",
  "state": "relaxed",
  "delta_e_f_mev_per_atom": -290,
  "total_magnetization_mub_per_cell": 0.00,
  "e_tot_ev_per_atom": -4.137,
  "density_g_cm3": 7.423,
  "lattice": [[9.232, 0.000, 0.000], [0.000, 9.232, 0.000], [0.000, 0.000, 6.293]],
  "species": ["Nd", "Nd", "Nd", "Nd", "Nd", "Nd", "Nd", "Nd", "Dy", "Dy", "In", "In", "In", "In", "In", "In", "In", "In"],
  "fractional_positions": [[0.079, 0.823, 0.120], [0.177, 0.579, 0.620], [0.323, 0.921, 0.620], [0.421, 0.677, 0.120], [0.579, 0.323, 0.880], [0.677, 0.079, 0.380], [0.823, 0.421, 0.380], [0.921, 0.177, 0.880], [0.250, 0.250, 0.750], [0.750, 0.750, 0.250], [0.050, 0.152, 0.368], [0.152, 0.450, 0.132], [0.348, 0.050, 0.132], [0.450, 0.348, 0.368], [0.550, 0.652, 0.632], [0.652, 0.950, 0.868], [0.848, 0.550, 0.868], [0.950, 0.848, 0.632]]
}

***

# 12
{
  "formula": "NdDy12In3",
  "functional": "PBE",
  "state": "relaxed",
  "delta_e_f_mev_per_atom": -188,
  "total_magnetization_mub_per_cell": 0.00,
  "e_tot_ev_per_atom": -4.451,
  "density_g_cm3": 8.619,
  "lattice": [[4.864, 0.000, 0.000], [0.000, 4.864, 0.000], [0.000, 0.000, 19.859]],
  "species": ["Nd", "Dy", "Dy", "Dy", "Dy", "Dy", "Dy", "Dy", "Dy", "Dy", "Dy", "Dy", "Dy", "In", "In", "In"],
  "fractional_positions": [[0.000, 0.000, 0.000], [0.000, 0.500, 0.132], [0.000, 0.500, 0.378], [0.000, 0.500, 0.622], [0.000, 0.500, 0.868], [0.500, 0.000, 0.132], [0.500, 0.000, 0.378], [0.500, 0.000, 0.622], [0.500, 0.000, 0.868], [0.500, 0.500, 0.000], [0.500, 0.500, 0.256], [0.500, 0.500, 0.500], [0.500, 0.500, 0.744], [0.000, 0.000, 0.257], [0.000, 0.000, 0.500], [0.000, 0.000, 0.743]]
}

***

Q: Which formula does entry 12 have?
A: NdDy12In3